Record 1
Computed, not measured: an optimized crystal structure of TbHo3Pu3Te8 at the PBE-GGA level of DFT.

Its volume is 31.62 Å³ per atom. The value obtained for the uncorrected formation energy is -18.8 eV/f.u. The space group is C2/m, No. 12.

Lattice parameters (Å, degrees): 8.734 8.753 8.766 120.02 90.00 119.93
Each line ends with the local moment (μB).
Sites, in units of the cell vectors:
1 Te 0.741 0.994 0.748  0.00
2 Te 0.747 0.006 0.252  0.00
3 Te 0.253 0.994 0.748  0.00
4 Te 0.746 0.493 0.251  -0.04
5 Te 0.254 0.507 0.749  -0.04
6 Te 0.748 0.495 0.744  -0.01
7 Te 0.259 0.006 0.252  0.00
8 Te 0.252 0.505 0.256  -0.01
9 Ho 0.500 0.500 0.500  0.01
10 Ho 0.000 0.500 0.500  0.01
11 Ho 0.500 0.000 0.500  0.03
12 Pu 0.000 0.000 0.000  -5.48
13 Pu 0.000 0.500 0.000  5.51
14 Pu 0.500 0.500 0.000  5.51
15 Tb 0.000 0.000 0.500  0.03

Record 2
Computed, not measured: an optimized crystal structure of Tb2Ho3PuTe6 at the PBE-GGA level of DFT.

Its volume is 29.33 Å³ per atom. The value obtained for the uncorrected formation energy is -15.1 eV/f.u. The space group is C2/m, No. 12.

Lattice parameters (Å, degrees): 4.342 8.760 9.762 103.13 102.85 90.00
Each line ends with the local moment (μB).
Sites, in units of the cell vectors:
1 Pu 0.500 0.000 0.000  5.59
2 Tb 0.836 0.671 0.672  0.04
3 Tb 0.164 0.329 0.328  0.04
4 Te 0.333 0.415 0.666  0.00
5 Te 0.001 0.746 0.003  -0.03
6 Te 0.331 0.918 0.662  -0.01
7 Te 0.667 0.585 0.334  0.00
8 Te 0.999 0.254 0.997  -0.03
9 Te 0.669 0.082 0.338  -0.01
10 Ho 0.500 0.500 0.000  -0.01
11 Ho 0.166 0.835 0.331  0.02
12 Ho 0.834 0.165 0.669  0.02

Record 3
Computed, not measured: an optimized crystal structure of TbHo3Pu2Te6 at the PBE-GGA level of DFT.

Its volume is 29.53 Å³ per atom. The value obtained for the uncorrected formation energy is -14.8 eV/f.u. The space group is C2/m, No. 12.

Lattice parameters (Å, degrees): 4.352 8.781 9.791 103.38 102.84 90.00
Each line ends with the local moment (μB).
Sites, in units of the cell vectors:
1 Te 0.665 0.587 0.331  -0.04
2 Te 0.667 0.079 0.334  -0.02
3 Te 0.333 0.921 0.666  -0.02
4 Te 0.002 0.749 0.005  -0.01
5 Te 0.335 0.413 0.669  -0.04
6 Te 0.998 0.251 0.995  -0.01
7 Pu 0.166 0.333 0.332  5.59
8 Pu 0.834 0.667 0.668  5.59
9 Ho 0.500 0.500 0.000  0.04
10 Ho 0.833 0.166 0.665  0.01
11 Ho 0.167 0.834 0.335  0.01
12 Tb 0.500 0.000 0.000  0.06

Record 4
Computed, not measured: an optimized crystal structure of TbHoPu2Te5 at the PBE-GGA level of DFT.

Its volume is 39.03 Å³ per atom. The value obtained for the uncorrected formation energy is -6.2 eV/f.u. The space group is P4/mmm, No. 123.

Lattice parameters (Å, degrees): 5.510 5.510 11.570 90.00 90.00 90.00
Each line ends with the local moment (μB).
Sites, in units of the cell vectors:
1 Pu 0.500 0.500 0.319  5.75
2 Pu 0.500 0.500 0.681  5.75
3 Te 0.000 0.500 0.500  -0.04
4 Te 0.000 0.000 0.245  -0.03
5 Te 0.000 0.000 0.755  -0.03
6 Te 0.500 0.000 0.500  -0.04
7 Te 0.500 0.500 0.000  -0.03
8 Tb 0.000 0.000 0.000  0.04
9 Ho 0.000 0.000 0.500  0.06

Record 5
Computed, not measured: an optimized crystal structure of TbHo2Pu3Te6 at the PBE-GGA level of DFT.

Its volume is 29.89 Å³ per atom. The value obtained for the uncorrected formation energy is -14.4 eV/f.u. The space group is C2/m, No. 12.

Lattice parameters (Å, degrees): 4.377 8.794 9.809 102.65 102.89 90.00
Each line ends with the local moment (μB).
Sites, in units of the cell vectors:
1 Te 0.331 0.418 0.663  0.01
2 Te 0.334 0.911 0.667  0.04
3 Te 0.669 0.582 0.337  0.01
4 Te 0.998 0.751 0.996  -0.02
5 Te 0.666 0.089 0.333  0.04
6 Te 0.002 0.249 0.004  -0.02
7 Pu 0.166 0.836 0.332  -5.56
8 Pu 0.500 0.500 0.000  5.53
9 Pu 0.834 0.164 0.668  -5.56
10 Tb 0.500 0.000 0.000  -0.02
11 Ho 0.166 0.336 0.333  0.01
12 Ho 0.834 0.664 0.667  0.01

Record 6
Computed, not measured: an optimized crystal structure of Tb3Ho2PuTe6 at the PBE-GGA level of DFT.

Its volume is 29.46 Å³ per atom. The value obtained for the uncorrected formation energy is -15.2 eV/f.u. The space group is C2/m, No. 12.

Lattice parameters (Å, degrees): 4.348 8.771 9.777 103.06 102.85 90.00
Each line ends with the local moment (μB).
Sites, in units of the cell vectors:
1 Pu 0.500 0.000 0.000  5.58
2 Te 0.331 0.419 0.662  0.00
3 Te 0.000 0.253 0.000  -0.03
4 Te 0.669 0.086 0.337  -0.01
5 Te 0.000 0.747 0.000  -0.03
6 Te 0.669 0.581 0.338  0.00
7 Te 0.331 0.914 0.663  -0.01
8 Tb 0.835 0.166 0.671  0.02
9 Tb 0.500 0.500 0.000  -0.01
10 Tb 0.165 0.834 0.329  0.02
11 Ho 0.163 0.328 0.326  0.05
12 Ho 0.837 0.672 0.674  0.05

Record 7
Computed, not measured: an optimized crystal structure of Tb3Ho6PuTh2 at the PBE-GGA level of DFT.

Its volume is 30.95 Å³ per atom. The formation energy comes out at 0.0326 eV per atom. The space group is C2/m, No. 12.

Lattice parameters (Å, degrees): 6.108 6.108 11.673 95.00 95.00 120.00
Each line ends with the local moment (μB).
Sites, in units of the cell vectors:
1 Tb 0.833 0.167 0.500  0.00
2 Tb 0.500 0.500 0.500  0.00
3 Tb 0.167 0.833 0.500  0.00
4 Ho 0.918 0.586 0.754  0.00
5 Ho 0.082 0.414 0.246  0.00
6 Ho 0.250 0.250 0.754  0.01
7 Ho 0.586 0.918 0.754  0.00
8 Ho 0.750 0.750 0.246  0.01
9 Ho 0.414 0.082 0.246  0.00
10 Th 0.667 0.333 0.000  0.03
11 Th 0.333 0.667 0.000  0.03
12 Pu 0.000 0.000 0.000  5.45

Record 8
Computed, not measured: an optimized crystal structure of Tb6Ho2Tm3Pu at the PBE-GGA level of DFT.

Its volume is 30.81 Å³ per atom. The formation energy comes out at 0.0435 eV per atom. The space group is C2/m, No. 12.

Lattice parameters (Å, degrees): 6.107 6.107 11.629 95.03 95.03 120.01
Each line ends with the local moment (μB).
Sites, in units of the cell vectors:
1 Tm 0.500 0.500 0.500  -0.05
2 Tm 0.833 0.167 0.500  -0.05
3 Tm 0.167 0.833 0.500  -0.05
4 Tb 0.247 0.247 0.751  0.04
5 Tb 0.413 0.083 0.249  0.05
6 Tb 0.753 0.753 0.249  0.04
7 Tb 0.587 0.917 0.751  0.05
8 Tb 0.917 0.587 0.751  0.05
9 Tb 0.083 0.413 0.249  0.05
10 Ho 0.667 0.333 0.000  0.16
11 Ho 0.333 0.667 0.000  0.16
12 Pu 0.000 0.000 0.000  5.59

Record 9
Computed, not measured: an optimized crystal structure of TbHoTmPu at the PBE-GGA level of DFT.

Its volume is 30.27 Å³ per atom. The formation energy comes out at 0.1876 eV per atom. The space group is F-43m, No. 216.

Lattice parameters (Å, degrees): 5.553 5.553 5.553 60.00 60.00 60.00
Each line ends with the local moment (μB).
Sites, in units of the cell vectors:
1 Pu 0.000 0.000 0.000  5.54
2 Tm 0.250 0.250 0.250  0.23
3 Ho 0.750 0.750 0.750  0.23
4 Tb 0.500 0.500 0.500  0.15

Record 10
Computed, not measured: an optimized crystal structure of Tb3Ho6Tm2Pu at the PBE-GGA level of DFT.

Its volume is 30.62 Å³ per atom. The formation energy comes out at 0.0418 eV per atom. The space group is C2/m, No. 12.

Lattice parameters (Å, degrees): 6.089 6.089 11.622 95.02 95.02 120.00
Each line ends with the local moment (μB).
Sites, in units of the cell vectors:
1 Ho 0.082 0.412 0.247  0.05
2 Ho 0.753 0.753 0.247  0.05
3 Ho 0.247 0.247 0.753  0.05
4 Ho 0.412 0.082 0.247  0.05
5 Ho 0.918 0.588 0.753  0.05
6 Ho 0.588 0.918 0.753  0.05
7 Tm 0.667 0.333 0.000  0.14
8 Tm 0.333 0.667 0.000  0.14
9 Tb 0.500 0.500 0.500  -0.04
10 Tb 0.833 0.167 0.500  -0.04
11 Tb 0.167 0.833 0.500  -0.04
12 Pu 0.000 0.000 0.000  5.58

Record 11
Computed, not measured: an optimized crystal structure of Tb3Ho2Tm6Pu at the PBE-GGA level of DFT.

Its volume is 30.23 Å³ per atom. The formation energy comes out at 0.0418 eV per atom. The space group is C2/m, No. 12.

Lattice parameters (Å, degrees): 6.067 6.067 11.559 95.03 95.03 119.99
Each line ends with the local moment (μB).
Sites, in units of the cell vectors:
1 Pu 0.000 0.000 0.000  5.57
2 Tm 0.247 0.247 0.753  0.05
3 Tm 0.753 0.753 0.247  0.05
4 Tm 0.588 0.918 0.753  0.06
5 Tm 0.412 0.082 0.247  0.06
6 Tm 0.918 0.588 0.753  0.06
7 Tm 0.082 0.412 0.247  0.06
8 Ho 0.667 0.333 0.000  0.10
9 Ho 0.333 0.667 0.000  0.10
10 Tb 0.167 0.833 0.500  -0.04
11 Tb 0.500 0.500 0.500  -0.04
12 Tb 0.833 0.167 0.500  -0.04

Record 12
Computed, not measured: an optimized crystal structure of Tb2Ho6Tm3Pu at the PBE-GGA level of DFT.

Its volume is 30.48 Å³ per atom. The formation energy comes out at 0.0449 eV per atom. The space group is C2/m, No. 12.

Lattice parameters (Å, degrees): 6.082 6.082 11.599 95.02 95.02 120.02
Each line ends with the local moment (μB).
Sites, in units of the cell vectors:
1 Ho 0.917 0.587 0.750  -0.04
2 Ho 0.413 0.083 0.250  -0.04
3 Ho 0.587 0.917 0.750  -0.04
4 Ho 0.753 0.753 0.250  -0.04
5 Ho 0.083 0.413 0.250  -0.04
6 Ho 0.247 0.247 0.750  -0.04
7 Tm 0.167 0.833 0.500  0.05
8 Tm 0.833 0.167 0.500  0.05
9 Tm 0.500 0.500 0.500  0.05
10 Tb 0.333 0.667 0.000  -0.11
11 Tb 0.667 0.333 0.000  -0.11
12 Pu 0.000 0.000 0.000  -5.58